1.
Cs2MgSn4Pb3 | the Alexandria database | PBE | optimized geometry; uncorrected energy = -3.1750 eV/atom; DOS at the Fermi energy = 4.59 states/eV per cell; total magnetization = 0.0 μB/cell
1.0
5.2286 0.0000 0.0000
0.0000 5.2286 0.0000
0.0000 0.0000 13.4199
Cs Mg Sn Pb
2 1 4 3
direct
0.0000 0.5000 0.2475
0.5000 0.0000 0.7525
0.5000 0.5000 0.0000
0.0000 0.0000 0.5000
0.0000 0.5000 0.8764
0.5000 0.0000 0.1236
0.5000 0.5000 0.5000
0.0000 0.0000 0.0000
0.0000 0.5000 0.6324
0.5000 0.0000 0.3676

=====

2.
ZnFe2Ag | the Alexandria database | PBE | optimized geometry; uncorrected energy = -5.0189 eV/atom; DOS at the Fermi energy = 3.28 states/eV per cell; total magnetization = 5.1 μB/cell
1.0
2.6359 -3.9546 0.0000
2.6359 3.9546 0.0000
0.0000 0.0000 2.6799
Zn Fe Ag
1 2 1
direct
0.0000 0.0000 0.0000
0.0000 0.5000 0.5000
0.5000 0.0000 0.5000
0.5000 0.5000 0.0000

=====

3.
CaGe2BO6 | the Alexandria database | PBE | optimized geometry; raw formation energy = -1.986 eV per atom; DOS at the Fermi energy = 2.57 states/eV per cell; total magnetization = 0.0 μB/cell
1.0
4.9937 -4.5681 0.0000
4.9937 4.5681 0.0000
-3.3130 0.0000 5.2776
Ca Ge B O
2 4 2 12
direct
0.1579 0.8421 0.7500
0.8421 0.1579 0.2500
0.2553 0.3857 0.8826
0.3857 0.2553 0.3826
0.6143 0.7447 0.6174
0.7447 0.6143 0.1174
0.1792 0.8208 0.2500
0.8208 0.1792 0.7500
0.0225 0.1893 0.7091
0.1682 0.6478 0.0099
0.1893 0.0225 0.2091
0.2455 0.4143 0.5891
0.3522 0.8318 0.4901
0.4143 0.2455 0.0891
0.5857 0.7545 0.9109
0.6478 0.1682 0.5099
0.7545 0.5857 0.4109
0.8107 0.9775 0.7909
0.8318 0.3522 0.9901
0.9775 0.8107 0.2909

=====

4.
HfZrNi3 | the Alexandria database | PBE | optimized geometry; energy above the lowest structure with this stoichiometry = 0 meV/atom; DOS at the Fermi energy = 5.79 states/eV per cell; total magnetization = 0.0 μB/cell
1.0
4.5202 0.0000 0.0000
0.0000 4.5202 0.0000
0.0000 0.0000 4.5202
Hf Zr Ni
1 1 3
direct
0.0000 0.0000 0.0000
0.5000 0.5000 0.5000
0.0000 0.0000 0.5000
0.0000 0.5000 0.0000
0.5000 0.0000 0.0000

=====

5.
Zr5Sc4 | the Alexandria database | PBE | optimized geometry; energy above the lowest structure with this stoichiometry = 0 meV/atom; DOS at the Fermi energy = 13.02 states/eV per cell; total magnetization = 0.0 μB/cell
1.0
-4.8289 4.8289 2.2700
4.8289 -4.8289 2.2700
4.8289 4.8289 -2.2700
Zr Sc
5 4
direct
0.0000 0.0000 0.0000
0.3355 0.3355 0.6709
0.3355 0.6645 0.0000
0.6645 0.3355 0.0000
0.6645 0.6645 0.3291
0.0000 0.3257 0.3257
0.0000 0.6743 0.6743
0.3257 0.0000 0.3257
0.6743 0.0000 0.6743

=====

6.
IrBrCl2 | the Alexandria database | PBE | optimized geometry; energy above the lowest structure with this stoichiometry = 575 meV/atom; raw formation energy = 0.168 eV per atom; DOS at the Fermi energy = 2.00 states/eV per cell; total magnetization = 0.0 μB/cell
1.0
1.8188 1.0501 7.3437
-1.8188 1.0501 7.3437
0.0000 -2.1002 7.3437
Ir Br Cl
1 1 2
direct
0.0000 0.0000 0.0000
0.5000 0.5000 0.5000
0.2775 0.2775 0.2775
0.7225 0.7225 0.7225

=====

7.
BaSi4Pt4 | the Alexandria database | PBE | optimized geometry; energy above the lowest structure with this stoichiometry = 0 meV/atom; raw formation energy = -0.832 eV per atom; DOS at the Fermi energy = 2.28 states/eV per cell; total magnetization = 0.0 μB/cell
1.0
-4.2763 4.2763 2.3183
4.2763 -4.2763 2.3183
4.2763 4.2763 -2.3183
Ba Si Pt
1 4 4
direct
0.0000 0.0000 0.0000
0.1191 0.3876 0.5067
0.3876 0.8809 0.2685
0.6124 0.1191 0.7315
0.8809 0.6124 0.4933
0.1871 0.6621 0.8492
0.3379 0.1871 0.5250
0.6621 0.8129 0.4750
0.8129 0.3379 0.1508

=====

8.
KLaCe2S4 | the Alexandria database | PBE | optimized geometry; raw formation energy = -1.895 eV per atom; DOS at the Fermi energy = 13.17 states/eV per cell; total magnetization = 2.4 μB/cell
1.0
7.1951 0.0000 0.0000
0.0000 4.1143 0.0000
-2.3564 0.0000 6.8914
K La Ce S
1 1 2 4
direct
0.0000 0.0000 0.0000
0.5000 0.5000 0.0000
0.0000 0.5000 0.5000
0.5000 0.0000 0.5000
0.2526 0.0000 0.7392
0.2662 0.5000 0.2705
0.7338 0.5000 0.7295
0.7474 0.0000 0.2608